No. 1
The following is a DFT calculation (PBE) of crystalline Ta2TePt at its relaxed geometry.

Cell and atoms, written as POSCAR:
```
Ta2TePt
1.0
5.984 0.000 0.000
0.000 5.984 0.000
2.992 2.992 6.177
Te Pt Ta
2 2 4
Cartesian
2.992 2.992 0.000
2.992 5.984 3.089
0.000 0.000 0.000
5.984 2.992 3.089
4.745 1.496 1.544
1.239 4.488 1.544
4.488 4.231 4.633
7.480 7.737 4.633
```

space-group type	I-42d
uncorrected energy	-61.2	eV/cell
density	10.279	g cm⁻³


No. 2
The following is a DFT calculation (PBE) of crystalline Pr2UCuTe5 at its relaxed geometry.

Cell and atoms, written as POSCAR:
```
Pr2UCuTe5
1.0
4.316 0.000 0.000
-2.158 9.586 0.000
0.000 0.000 13.188
Pr U Cu Te
4 2 2 10
Cartesian
2.158 7.190 10.643
0.000 2.110 9.036
0.000 2.396 4.049
2.158 7.476 2.442
2.158 5.892 6.714
0.000 3.694 0.119
2.158 1.373 12.620
0.000 8.213 6.026
0.000 6.849 0.003
2.158 3.583 11.102
2.158 0.000 10.376
0.000 5.499 8.887
2.158 8.763 7.428
2.158 2.736 6.598
0.000 6.003 4.508
0.000 9.585 3.782
2.158 4.086 2.293
0.000 0.822 0.834
```

space-group type	Cmc2_1
uncorrected energy	-98.8	eV/cell
density	7.435	g cm⁻³